# 1
Compound: CdCoTc2Os
Source: the Alexandria database
Functional: PBE
Structure: relaxed

Geometry as POSCAR:
```
CdCoTc2Os
1.0
4.741 0.000 0.000
0.000 4.741 0.000
0.000 0.000 4.754
Cd Co Tc Os
1 1 2 1
Direct
0.000 0.000 0.000
0.500 0.500 0.500
0.000 0.500 0.000
0.500 0.000 0.000
0.000 0.000 0.500
```

Calculated values
DOS at the Fermi energy in states/eV per atom: 2.661
Total magnetic moment in μB per formula unit: 0.0
Calculated formation energy in eV/f.u.: 15.94
Raw total energy in eV/atom: -4.8086

# 2
Compound: LiTlNi2
Source: the Alexandria database
Functional: PBE
Structure: relaxed

Geometry as POSCAR:
```
LiTlNi2
1.0
-2.149 2.149 3.024
2.149 -2.149 3.024
2.149 2.149 -3.024
Li Tl Ni
1 1 2
Direct
0.000 0.000 0.000
0.750 0.250 0.500
0.250 0.750 0.500
0.500 0.500 0.000
```

Calculated values
DOS at the Fermi energy in states/eV per atom: 0.656
Total magnetic moment in μB per formula unit: 0.0
Calculated formation energy in eV/f.u.: 0.27
Raw total energy in eV/atom: -3.8939

# 3
Compound: ZrMn2Tl3Te6
Source: the Alexandria database
Functional: PBE
Structure: relaxed

Geometry as POSCAR:
```
ZrMn2Tl3Te6
1.0
3.638 -6.298 0.000
3.638 6.298 0.000
-2.439 0.000 7.998
Zr Mn Tl Te
1 2 3 6
Direct
0.000 0.000 0.000
0.332 0.668 0.000
0.668 0.332 0.000
0.161 0.839 0.500
0.500 0.500 0.500
0.839 0.161 0.500
0.066 0.406 0.199
0.276 0.276 0.805
0.406 0.066 0.199
0.594 0.934 0.801
0.724 0.724 0.195
0.934 0.594 0.801
```

Calculated values
DOS at the Fermi energy in states/eV per atom: 0.352
Total magnetic moment in μB per formula unit: 9.2
E_form (uncorrected) in eV/atom: -0.375
Raw total energy in eV/atom: -4.7782

# 4
Compound: Cs2Pd3O4
Source: the Alexandria database
Functional: PBE
Structure: relaxed

Geometry as POSCAR:
```
Cs2Pd3O4
1.0
0.000 4.842 6.723
2.935 0.000 6.723
2.935 4.842 0.000
Cs Pd O
2 3 4
Direct
0.166 0.166 0.834
0.834 0.834 0.166
0.000 0.000 0.500
0.500 0.500 0.000
0.500 0.500 0.500
0.236 0.576 0.424
0.424 0.764 0.236
0.576 0.236 0.764
0.764 0.424 0.576
```

Calculated values
Total magnetic moment in μB per formula unit: 0.0
E_form (uncorrected) in eV/atom: -0.774
Raw total energy in eV/atom: -4.8984

- Which formula does entry 4 have?
  Cs2Pd3O4

- Which formula does entry 3 have?
  ZrMn2Tl3Te6

- What is the total magnetic moment in the fourth record?
  0.0 μB per formula unit

- Which formula does entry 2 have?
  LiTlNi2